Entry 1:
The following is a GGA-PBE calculation of an optimized crystal structure of InFeSe2, from the Alexandria database.

```
InFeSe2
1.0
-6.404 -2.696 -2.989
-2.381 -3.120 -6.466
4.965 0.486 5.685
Fe In Se
1 1 2
Cartesian
-4.392 -2.908 -4.727
-2.916 -2.559 -1.015
0.000 0.000 0.000
-0.904 -2.771 -2.754
```

Calculated values
Total magnetic moment, Bohr magnetons per cell: 3.55
DFT total energy, eV/atom: -4.35
Crystal system: tetragonal

---

Entry 2:
The following is a GGA-PBE calculation of an optimized crystal structure of InFeSe2, from the Alexandria database.

```
InFeSe2
1.0
3.689 0.000 0.000
0.000 3.844 0.015
0.000 1.889 6.729
Fe In Se
1 1 2
Cartesian
0.000 2.147 3.708
1.844 4.064 4.781
0.000 2.133 6.091
1.844 2.144 2.265
```

Calculated values
Total magnetic moment, Bohr magnetons per cell: 2.73
DFT total energy, eV/atom: -4.58
Crystal system: monoclinic

---

Entry 3:
The following is a GGA-PBE calculation of an optimized crystal structure of In2FeSe, from the Alexandria database.

```
In2FeSe
1.0
-2.994 -0.636 0.670
0.560 -3.057 -0.399
1.949 -0.694 8.052
Fe In Se
1 2 1
Cartesian
0.245 -2.367 6.174
1.871 -0.667 7.731
1.052 -0.375 4.347
-0.730 -2.020 2.148
```

Calculated values
Total magnetic moment, Bohr magnetons per cell: 2.48
DFT total energy, eV/atom: -4.07
Crystal system: tetragonal

---

Entry 4:
The following is a GGA-PBE calculation of an optimized crystal structure of In2FeSe, from the Alexandria database.

```
In2FeSe
1.0
3.522 0.000 0.000
0.000 3.522 0.000
0.000 0.000 6.586
Fe In Se
1 2 1
Cartesian
1.761 1.761 4.939
0.000 0.000 6.452
0.000 0.000 3.427
1.761 1.761 1.646
```

Calculated values
Total magnetic moment, Bohr magnetons per cell: 2.65
DFT total energy, eV/atom: -4.10
Crystal system: tetragonal

---

Entry 5:
The following is a GGA-PBE calculation of an optimized crystal structure of In2FeSe, from the Alexandria database.

```
In2FeSe
1.0
-5.215 -1.845 0.570
-0.224 -4.741 2.897
1.669 5.289 0.409
Fe In Se
1 2 1
Cartesian
-0.637 -1.373 2.520
-0.059 -0.071 0.038
-2.660 -3.222 1.696
-3.133 0.075 1.357
```

Calculated values
Total magnetic moment, Bohr magnetons per cell: 2.79
DFT total energy, eV/atom: -4.02
Crystal system: orthorhombic

---

Entry 6:
The following is a GGA-PBE calculation of an optimized crystal structure of In2FeSe, from the Alexandria database.

```
In2FeSe
1.0
4.880 0.000 0.000
0.000 4.944 0.000
0.000 0.000 3.516
Fe In Se
1 2 1
Cartesian
0.000 2.472 1.758
0.000 0.000 0.000
2.440 2.472 0.000
2.440 0.000 1.758
```

Calculated values
Total magnetic moment, Bohr magnetons per cell: 2.86
DFT total energy, eV/atom: -4.06
Crystal system: orthorhombic

---

Entry 7:
The following is a GGA-PBE calculation of an optimized crystal structure of In2FeSe, from the Alexandria database.

```
In2FeSe
1.0
3.516 0.000 0.000
0.000 3.568 -0.044
0.000 2.485 6.576
Fe In Se
1 2 1
Cartesian
1.758 4.539 4.898
0.000 2.580 6.425
0.000 2.931 3.416
1.758 1.513 1.633
```

Calculated values
Total magnetic moment, Bohr magnetons per cell: 2.46
DFT total energy, eV/atom: -4.10
Crystal system: monoclinic

---

Entry 8:
The following is a GGA-PBE calculation of an optimized crystal structure of InFeSe2, from the Alexandria database.

```
InFeSe2
1.0
-3.629 -0.211 3.252
-2.415 -3.078 -2.913
1.520 -2.636 1.526
Fe In Se
1 1 2
Cartesian
-1.054 -1.424 2.389
-0.447 -2.857 -0.694
0.000 0.000 0.000
-3.022 -1.644 0.170
```

Calculated values
Total magnetic moment, Bohr magnetons per cell: 3.50
DFT total energy, eV/atom: -4.26
Crystal system: orthorhombic